Entry from Alexandria: a relaxed structure of TmMg4Zn2 (PBE).

abc: 4.240 4.240 8.593
angles: 104.28 90.00 90.00
Fractional positions:
Zn  0.500  0.428  0.856
Zn  0.500  0.572  0.144
Mg  0.000  0.322  0.644
Mg  0.500  0.823  0.646
Mg  0.000  0.678  0.356
Mg  0.500  0.177  0.354
Tm  0.000  0.000  0.000

Computed properties:
For the total energy, the calculation gives -2.037 eV per atom. As for the total magnetization: 0.00 μB/cell.

Entry from Alexandria: a relaxed structure of Li3Mg6In (PBE).

abc: 5.078 8.240 10.935
angles: 109.11 90.00 90.00
Fractional positions:
In  0.250  0.391  0.427
In  0.750  0.609  0.573
Li  0.250  0.801  0.031
Li  0.750  0.199  0.969
Li  0.750  0.808  0.372
Li  0.750  0.400  0.768
Li  0.250  0.192  0.628
Li  0.250  0.600  0.232
Mg  0.750  0.202  0.473
Mg  0.250  0.990  0.329
Mg  0.250  0.590  0.731
Mg  0.750  0.997  0.168
Mg  0.250  0.401  0.930
Mg  0.750  0.410  0.269
Mg  0.750  0.798  0.871
Mg  0.750  0.010  0.671
Mg  0.750  0.599  0.070
Mg  0.250  0.003  0.832
Mg  0.250  0.202  0.129
Mg  0.250  0.798  0.527

Computed properties:
As for the total magnetization: 0.00 μB/cell. The calculation puts the energy above the most stable polymorph in this dataset at 0.0 meV per atom.

Entry from Alexandria: a relaxed structure of Ni6HPt2N (PBE).

abc: 5.301 5.301 5.299
angles: 59.90 59.90 89.95
Fractional positions:
H  0.000  0.000  0.000
Ni  0.249  0.249  0.000
Ni  0.752  0.248  0.000
Ni  0.752  0.752  0.495
Ni  0.248  0.248  0.505
Ni  0.751  0.751  0.000
Ni  0.248  0.752  0.000
Pt  0.250  0.750  0.500
Pt  0.750  0.250  0.500
N  0.500  0.500  0.000

Computed properties:
For the total energy, the calculation gives -5.845 eV per atom. As for the total magnetization: 0.00 μB/cell.

Entry from Alexandria: a relaxed structure of Nb2VZnRh (PBE).

abc: 4.612 4.520 4.612
angles: 90.00 90.00 90.00
Fractional positions:
Nb  0.500  0.000  0.000
Nb  0.000  0.000  0.500
V  0.000  0.000  0.000
Zn  0.500  0.500  0.500
Rh  0.000  0.500  0.000

Computed properties:
As for the total magnetization: 0.00 μB/cell. The calculation puts the energy above the most stable polymorph in this dataset at 0.0 meV per atom.

Entry from Alexandria: a relaxed structure of Pm2Ho3Cd2 (PBE).

abc: 3.563 3.520 16.580
angles: 90.00 96.17 90.00
Fractional positions:
Cd  0.136  0.000  0.273
Cd  0.864  0.000  0.727
Ho  0.426  0.500  0.851
Ho  0.000  0.000  0.000
Ho  0.574  0.500  0.149
Pm  0.703  0.500  0.405
Pm  0.297  0.500  0.595

Computed properties:
As for the total magnetization: 0.02 μB/cell. The calculation puts the energy above the most stable polymorph in this dataset at 39.9 meV per atom.

Entry from Alexandria: a relaxed structure of BaSr2TlRh (PBE).

abc: 5.833 5.833 5.951
angles: 90.00 90.00 90.00
Fractional positions:
Tl  0.500  0.500  0.500
Sr  0.500  0.000  0.000
Sr  0.000  0.500  0.000
Rh  0.000  0.000  0.000
Ba  0.000  0.000  0.500

Computed properties:
As for the total magnetization: 0.00 μB/cell. The calculation puts the energy above the most stable polymorph in this dataset at 5.6 meV per atom.

Entry from Alexandria: a relaxed structure of Pm6Pr3NdTm2 (PBE).

abc: 6.311 6.311 12.078
angles: 95.01 95.01 120.00
Fractional positions:
Pr  0.167  0.833  0.500
Pr  0.833  0.167  0.500
Pr  0.500  0.500  0.500
Pm  0.583  0.918  0.754
Pm  0.918  0.583  0.754
Pm  0.252  0.252  0.754
Pm  0.748  0.748  0.246
Pm  0.417  0.082  0.246
Pm  0.082  0.417  0.246
Tm  0.667  0.333  0.000
Tm  0.333  0.667  0.000
Nd  0.000  0.000  0.000

Computed properties:
For the total energy, the calculation gives -4.695 eV per atom. As for the total magnetization: 0.00 μB/cell.

Entry from Alexandria: a relaxed structure of FeNiPd3 (PBE).

abc: 4.526 4.526 4.526
angles: 90.00 90.00 90.00
Last column: magnetic moment on the atom in μB.
Fractional positions:
Fe  0.500  0.500  0.500  3.42
Pd  0.500  0.000  0.000  0.17
Pd  0.000  0.000  0.500  0.26
Pd  0.000  0.500  0.000  0.15
Ni  0.000  0.000  0.000  0.64

Computed properties:
As for the total magnetization: 4.72 μB/cell. The calculation puts the energy above the most stable polymorph in this dataset at 837.4 meV per atom.

Entry from Alexandria: a relaxed structure of GaTcSbPt2 (PBE).

abc: 4.649 4.733 4.649
angles: 90.00 90.00 90.00
Last column: magnetic moment on the atom in μB.
Fractional positions:
Ga  0.000  0.000  0.000  -0.03
Pt  0.500  0.000  0.000  0.01
Pt  0.000  0.000  0.500  0.01
Sb  0.500  0.500  0.500  -0.02
Tc  0.000  0.500  0.000  1.71

Computed properties:
For the total energy, the calculation gives -5.263 eV per atom. As for the total magnetization: 1.83 μB/cell.

Entry from Alexandria: a relaxed structure of Ba3SrCd3 (PBE).

abc: 8.402 8.402 8.402
angles: 90.00 90.00 84.33
Fractional positions:
Ba  0.269  0.731  0.500
Ba  0.731  0.269  0.500
Ba  0.274  0.726  0.000
Ba  0.225  0.225  0.500
Ba  0.726  0.274  0.000
Ba  0.775  0.775  0.500
Cd  0.000  0.500  0.761
Cd  0.000  0.000  0.243
Cd  0.000  0.000  0.757
Cd  0.500  0.000  0.761
Cd  0.500  0.000  0.239
Cd  0.000  0.500  0.239
Sr  0.777  0.777  0.000
Sr  0.223  0.223  0.000

Computed properties:
For the total energy, the calculation gives -1.713 eV per atom. As for the total magnetization: 0.00 μB/cell.

Entry from Alexandria: a relaxed structure of PrSmFe4 (PBE).

abc: 5.249 5.249 5.249
angles: 60.00 60.00 60.00
Last column: magnetic moment on the atom in μB.
Fractional positions:
Fe  0.124  0.625  0.625  2.23
Fe  0.625  0.625  0.124  2.23
Fe  0.625  0.625  0.625  2.23
Fe  0.625  0.124  0.625  2.23
Sm  0.000  0.000  0.000  -0.37
Pr  0.250  0.250  0.250  -0.34

Computed properties:
For the total energy, the calculation gives -7.157 eV per atom. As for the total magnetization: 7.73 μB/cell.

Entry from Alexandria: a relaxed structure of CdIn2Ni (PBE).

abc: 3.512 3.780 6.056
angles: 90.00 90.00 90.00
Fractional positions:
Cd  0.500  0.500  0.740
In  0.000  0.000  0.997
In  0.500  0.500  0.287
Ni  0.000  0.000  0.476

Computed properties:
For the total energy, the calculation gives -2.909 eV per atom. As for the total magnetization: 0.00 μB/cell.

Entry from Alexandria: a relaxed structure of Tb2Pm3Sm7 (PBE).

abc: 6.608 6.608 11.920
angles: 73.91 73.91 60.00
Fractional positions:
Sm  0.920  0.413  0.253
Sm  0.500  0.500  0.500
Sm  0.587  0.587  0.747
Sm  0.413  0.920  0.253
Sm  0.413  0.413  0.253
Sm  0.080  0.587  0.747
Sm  0.587  0.080  0.747
Pm  0.000  0.000  0.000
Pm  0.152  0.152  0.543
Pm  0.848  0.848  0.457
Tb  0.334  0.334  0.998
Tb  0.666  0.666  0.002

Computed properties:
As for the total magnetization: 0.00 μB/cell. The calculation puts the energy above the most stable polymorph in this dataset at 199.3 meV per atom.

Entry from Alexandria: a relaxed structure of Zn4In (PBE).

abc: 5.245 5.245 5.245
angles: 90.00 90.00 90.00
Fractional positions:
Zn  0.500  0.000  0.500
Zn  0.000  0.000  0.000
Zn  0.000  0.500  0.500
Zn  0.500  0.500  0.000
In  0.500  0.500  0.500

Computed properties:
As for the total magnetization: 0.00 μB/cell. The calculation puts the energy above the most stable polymorph in this dataset at 490.1 meV per atom.

Entry from Alexandria: a relaxed structure of Mg2GaGe2Ir5 (PBE).

abc: 3.520 9.483 9.483
angles: 90.00 90.00 90.00
Fractional positions:
Ir  0.500  0.429  0.302
Ir  0.500  0.802  0.929
Ir  0.500  0.302  0.571
Ir  0.500  0.198  0.071
Ir  0.500  0.929  0.198
Ir  0.500  0.071  0.802
Ir  0.500  0.698  0.429
Ir  0.500  0.000  0.500
Ir  0.500  0.500  0.000
Ir  0.500  0.571  0.698
Ga  0.000  0.500  0.500
Ga  0.000  0.000  0.000
Ge  0.000  0.369  0.131
Ge  0.000  0.869  0.369
Ge  0.000  0.131  0.631
Ge  0.000  0.631  0.869
Mg  0.000  0.670  0.170
Mg  0.000  0.330  0.830
Mg  0.000  0.830  0.670
Mg  0.000  0.170  0.330

Computed properties:
For the total energy, the calculation gives -6.275 eV per atom. As for the total magnetization: 0.00 μB/cell.

Entry from Alexandria: a relaxed structure of NdUCr (PBE).

abc: 3.113 4.829 11.483
angles: 118.53 90.00 108.80
Last column: magnetic moment on the atom in μB.
Fractional positions:
Nd  0.461  0.922  0.137  0.00
Nd  0.539  0.078  0.863  0.00
U  0.357  0.714  0.375  0.56
U  0.643  0.286  0.625  0.56
Cr  0.139  0.277  0.407  -0.10
Cr  0.861  0.723  0.593  -0.10

Computed properties:
For the total energy, the calculation gives -8.190 eV per atom. As for the total magnetization: 0.97 μB/cell.

Entry from Alexandria: a relaxed structure of MnTcBr2 (PBE).

abc: 8.990 8.990 8.990
angles: 159.51 158.76 29.67
Last column: magnetic moment on the atom in μB.
Fractional positions:
Mn  0.433  0.433  0.000  4.04
Br  0.740  0.240  0.500  0.01
Br  0.020  0.020  0.000  0.10
Tc  0.308  0.808  0.500  0.09

Computed properties:
As for the total magnetization: 4.56 μB/cell. The calculation puts the energy above the most stable polymorph in this dataset at 239.0 meV per atom.

Entry from Alexandria: a relaxed structure of NiPRhW2 (PBE).

abc: 4.428 4.278 4.428
angles: 90.00 90.00 90.00
Fractional positions:
Ni  0.500  0.500  0.500
Rh  0.000  0.500  0.000
W  0.000  0.000  0.500
W  0.500  0.000  0.000
P  0.000  0.000  0.000

Computed properties:
For the total energy, the calculation gives -8.063 eV per atom. As for the total magnetization: 0.00 μB/cell.

Entry from Alexandria: a relaxed structure of Li2ZnRe (PBE).

abc: 5.163 5.163 5.087
angles: 65.01 65.01 28.12
Fractional positions:
Li  0.992  0.992  0.906
Li  0.752  0.752  0.847
Re  0.506  0.506  0.393
Zn  0.250  0.250  0.354

Computed properties:
For the total energy, the calculation gives -4.196 eV per atom. As for the total magnetization: 0.00 μB/cell.

Entry from Alexandria: a relaxed structure of Ba8BiPt3I4 (PBE).

abc: 9.565 10.247 9.564
angles: 117.84 120.00 90.00
Fractional positions:
Ba  0.285  0.297  0.041
Ba  0.244  0.702  0.488
Ba  0.715  0.703  0.959
Ba  0.756  0.297  0.041
Ba  0.244  0.703  0.959
Ba  0.756  0.298  0.512
Ba  0.736  0.707  0.471
Ba  0.264  0.293  0.529
Pt  0.000  0.500  0.500
Pt  0.500  0.500  0.000
Pt  0.500  0.500  0.500
I  0.000  0.000  0.000
I  0.500  0.000  0.000
I  0.500  0.000  0.500
I  0.000  0.000  0.500
Bi  0.000  0.500  0.000

Computed properties:
For the total energy, the calculation gives -3.879 eV per atom. As for the total magnetization: 0.86 μB/cell.

Entry from Alexandria: a relaxed structure of Ac2AgHg4 (PBE).

abc: 5.557 5.557 8.250
angles: 70.32 70.32 60.00
Fractional positions:
Ac  0.729  0.729  0.812
Ac  0.271  0.271  0.188
Ag  0.000  0.000  0.000
Hg  0.431  0.431  0.708
Hg  0.875  0.875  0.376
Hg  0.125  0.125  0.624
Hg  0.569  0.569  0.292

Computed properties:
As for the total magnetization: 0.00 μB/cell. The calculation puts the energy above the most stable polymorph in this dataset at 0.0 meV per atom.

Entry from Alexandria: a relaxed structure of AsH (PBE).

abc: 9.471 9.471 3.273
angles: 90.00 90.00 90.00
Fractional positions:
H  0.097  0.826  0.000
H  0.174  0.097  0.000
H  0.278  0.756  0.500
H  0.756  0.722  0.500
H  0.722  0.244  0.500
H  0.826  0.903  0.000
H  0.903  0.174  0.000
H  0.244  0.278  0.500
As  0.735  0.884  0.500
As  0.116  0.735  0.500
As  0.873  0.480  0.000
As  0.265  0.116  0.500
As  0.520  0.873  0.000
As  0.480  0.127  0.000
As  0.127  0.520  0.000
As  0.884  0.265  0.500

Computed properties:
As for the total magnetization: 0.00 μB/cell. The calculation puts the energy above the most stable polymorph in this dataset at 252.6 meV per atom.

Entry from Alexandria: a relaxed structure of YCo2H (PBE).

abc: 4.256 4.256 4.256
angles: 60.00 60.00 60.00
Last column: magnetic moment on the atom in μB.
Fractional positions:
Y  0.500  0.500  0.500  -0.15
Co  0.250  0.250  0.250  0.73
Co  0.750  0.750  0.750  0.73
H  0.000  0.000  0.000  0.01

Computed properties:
As for the total magnetization: 1.26 μB/cell. The calculation puts the energy above the most stable polymorph in this dataset at 980.2 meV per atom.

Entry from Alexandria: a relaxed structure of Pa3Fe2N6 (PBE).

abc: 3.736 3.736 9.672
angles: 101.13 101.13 90.00
Fractional positions:
Fe  0.397  0.397  0.795
Fe  0.603  0.603  0.205
Pa  0.823  0.823  0.647
Pa  0.177  0.177  0.353
Pa  0.000  0.000  0.000
N  0.705  0.705  0.411
N  0.417  0.917  0.835
N  0.295  0.295  0.589
N  0.583  0.083  0.165
N  0.083  0.583  0.165
N  0.917  0.417  0.835

Computed properties:
For the total energy, the calculation gives -9.797 eV per atom. As for the total magnetization: 0.00 μB/cell.